Entry P
The following is a DFT calculation (PBE) of crystalline Y5Ho12Tm2 at its relaxed geometry.

Cell lengths 9.108, 9.108, 8.485 Å; angles 91.05, 91.05, 59.87 degrees
Sites, in units of the cell vectors:
1 Y 0.000 0.000 0.000
2 Y 0.234 0.234 0.073
3 Y 0.301 0.301 0.490
4 Y 0.699 0.699 0.510
5 Y 0.766 0.766 0.927
6 Ho 0.029 0.663 0.256
7 Ho 0.091 0.091 0.388
8 Ho 0.180 0.568 0.835
9 Ho 0.337 0.971 0.744
10 Ho 0.432 0.820 0.165
11 Ho 0.443 0.443 0.163
12 Ho 0.557 0.557 0.837
13 Ho 0.568 0.180 0.835
14 Ho 0.663 0.029 0.256
15 Ho 0.820 0.432 0.165
16 Ho 0.909 0.909 0.612
17 Ho 0.971 0.337 0.744
18 Tm 0.323 0.677 0.500
19 Tm 0.677 0.323 0.500

Space group: C2/m

=====

Entry Q
The following is a DFT calculation (PBE) of crystalline Y5Ho12Tm2 at its relaxed geometry.

Cell lengths 6.468, 8.849, 11.333 Å; angles 109.61, 92.91, 98.24 degrees
Sites, in units of the cell vectors:
1 Y 0.000 0.000 0.000
2 Y 0.197 0.988 0.696
3 Y 0.486 0.607 0.281
4 Y 0.514 0.393 0.719
5 Y 0.803 0.012 0.304
6 Ho 0.031 0.739 0.369
7 Ho 0.050 0.344 0.232
8 Ho 0.221 0.401 0.959
9 Ho 0.299 0.828 0.139
10 Ho 0.333 0.130 0.422
11 Ho 0.478 0.800 0.862
12 Ho 0.522 0.200 0.138
13 Ho 0.667 0.870 0.578
14 Ho 0.701 0.172 0.861
15 Ho 0.779 0.599 0.041
16 Ho 0.950 0.656 0.768
17 Ho 0.969 0.261 0.631
18 Tm 0.264 0.554 0.538
19 Tm 0.736 0.446 0.462

Space group: P-1

=====

The calculated energies rank the structures as follows, beginning with the most stable: entry Q, entry P.